# ZnCF2 PBE-GGA optimized geometry
data_ZnCF2
_chemical_formula_sum 'Zn4 C4 F8'
_symmetry_space_group_name_H-M 'F m -3 m'
_symmetry_Int_Tables_number 225
_symmetry_space_group_name_Hall '-F 4 2 3'
_cell_length_a 5.540
_cell_length_b 5.540
_cell_length_c 5.540
_cell_angle_alpha 90.00
_cell_angle_beta 90.00
_cell_angle_gamma 90.00
loop_
_atom_site_label
_atom_site_type_symbol
_atom_site_fract_x
_atom_site_fract_y
_atom_site_fract_z
_atom_site_occupancy
Zn1 Zn 0.000 0.000 0.000 1
C1 C 0.000 0.000 0.500 1
F1 F 0.250 0.250 0.250 1
# total magnetization	0.00	Bohr magnetons per cell
# calculated volume	170.03	Å³/cell
# DOS at the Fermi energy	8.865	states/eV per cell

***

# ZrC3F PBE-GGA optimized geometry
data_ZrC3F
_chemical_formula_sum 'Zr1 C3 F1'
_symmetry_space_group_name_H-M 'P m -3 m'
_symmetry_Int_Tables_number 221
_symmetry_space_group_name_Hall '-P 4 2 3'
_cell_length_a 4.402
_cell_length_b 4.402
_cell_length_c 4.402
_cell_angle_alpha 90.00
_cell_angle_beta 90.00
_cell_angle_gamma 90.00
loop_
_atom_site_label
_atom_site_type_symbol
_atom_site_fract_x
_atom_site_fract_y
_atom_site_fract_z
_atom_site_occupancy
Zr1 Zr 0.000 0.000 0.000 1
C1 C 0.000 0.000 0.500 1
F1 F 0.500 0.500 0.500 1
# total magnetization	0.97	Bohr magnetons per cell
# calculated volume	85.33	Å³/cell
# DOS at the Fermi energy	6.255	states/eV per cell

***

# Zr2CF PBE-GGA optimized geometry
data_Zr2CF
_chemical_formula_sum 'Zr8 C4 F4'
_symmetry_space_group_name_H-M 'I -4 2 d'
_symmetry_Int_Tables_number 122
_symmetry_space_group_name_Hall 'I -4 2bw'
_cell_length_a 5.202
_cell_length_b 5.202
_cell_length_c 10.170
_cell_angle_alpha 90.00
_cell_angle_beta 90.00
_cell_angle_gamma 90.00
loop_
_atom_site_label
_atom_site_type_symbol
_atom_site_fract_x
_atom_site_fract_y
_atom_site_fract_z
_atom_site_occupancy
Zr1 Zr 0.219 0.250 0.125 1
C1 C 0.000 0.000 0.000 1
F1 F 0.000 0.000 0.500 1
# total magnetization	0.00	Bohr magnetons per cell
# calculated volume	275.15	Å³/cell
# DOS at the Fermi energy	11.358	states/eV per cell

***

# ZrC2F PBE-GGA optimized geometry
data_ZrC2F
_chemical_formula_sum 'Zr4 C8 F4'
_symmetry_space_group_name_H-M 'F m -3 m'
_symmetry_Int_Tables_number 225
_symmetry_space_group_name_Hall '-F 4 2 3'
_cell_length_a 5.604
_cell_length_b 5.604
_cell_length_c 5.604
_cell_angle_alpha 90.00
_cell_angle_beta 90.00
_cell_angle_gamma 90.00
loop_
_atom_site_label
_atom_site_type_symbol
_atom_site_fract_x
_atom_site_fract_y
_atom_site_fract_z
_atom_site_occupancy
Zr1 Zr 0.000 0.000 0.000 1
C1 C 0.250 0.250 0.250 1
F1 F 0.000 0.000 0.500 1
# total magnetization	0.00	Bohr magnetons per cell
# calculated volume	175.99	Å³/cell
# DOS at the Fermi energy	20.335	states/eV per cell

***

The following distance to the lowest polymorph of the same formula values (in meV/atom) correspond, in order, to the records above: 318.1, 394.6, 438.0, 1079.4.